VASP calculation (PBE+U) on PaVAs2O8 after structural relaxation.

Final energy ... -7.346 eV per atom
Volume ... 160.2 Å³/f.u.
Density ... 5804 kg/m³

a = 6.968 Å, b = 6.968 Å, c = 6.597 Å
α = 90.00°, β = 90.00°, γ = 90.00°
Space group I-4m2 (No. 119)
One atom of each set of equivalent atoms:
Pa: 0.000 0.000 0.000
V: 0.000 0.500 0.750
As: 0.000 0.000 0.500
As: 0.000 0.500 0.250
O: 0.000 0.184 0.676
O: 0.000 0.312 0.023